No. 1
Compound: CuTe2IrN
Source: Alexandria via LeMat-Bulk
Functional: GGA-PBE
Structure: relaxed

Lattice parameters (Å, degrees): 5.5147 5.5147 3.6228 90.00 90.00 90.00
Closest atoms and distances in Å follow each position.
Positions (direct):
Te1 0.5000 0.0000 0.0000  2 Ir 2.76
Te2 0.0000 0.5000 0.0000  2 Ir 2.76
N1 0.0000 0.0000 0.5000  2 Ir 1.81
Ir1 0.0000 0.0000 0.0000  2 N 1.81
Cu1 0.5000 0.5000 0.5000  8 Te 3.30, 2 Cu 3.62

## Properties
Crystal system: tetragonal
Formation energy without anion corrections, meV per atom: 525

***

No. 2
Compound: TiCu2IrN
Source: Alexandria via LeMat-Bulk
Functional: GGA-PBE
Structure: relaxed

Lattice parameters (Å, degrees): 4.8132 3.6450 4.8132 90.00 90.00 90.00
Closest atoms and distances in Å follow each position.
Positions (direct):
Cu1 0.0000 0.0000 0.5000  2 Ir 2.41
Cu2 0.5000 0.0000 0.0000  2 Ir 2.41
Ti1 0.5000 0.5000 0.5000  8 Cu 3.02
Ir1 0.0000 0.0000 0.0000  2 N 1.82
N1 0.0000 0.5000 0.0000  2 Ir 1.82

## Properties
Crystal system: tetragonal
Formation energy without anion corrections, meV per atom: 742

***

No. 3
Compound: NaCuIr3
Source: Alexandria via LeMat-Bulk
Functional: GGA-PBE
Structure: relaxed

Lattice parameters (Å, degrees): 4.5583 4.5583 4.5583 90.00 90.00 90.00
Closest atoms and distances in Å follow each position.
Positions (direct):
Ir1 0.5000 0.0000 0.0000  2 Cu 2.28
Ir2 0.0000 0.5000 0.0000  2 Cu 2.28
Ir3 0.0000 0.0000 0.5000  2 Cu 2.28
Cu1 0.0000 0.0000 0.0000  6 Ir 2.28
Na1 0.5000 0.5000 0.5000  12 Ir 3.22

## Properties
Crystal system: cubic
ΔE_f, eV/atom: 1.461

***

No. 4
Compound: Na2Cu2Ir
Source: Alexandria via LeMat-Bulk
Functional: GGA-PBE
Structure: relaxed

Lattice parameters (Å, degrees): 6.2576 6.2576 4.7194 90.00 90.00 90.00
Closest atoms and distances in Å follow each position.
Positions (direct):
Ir1 0.0000 0.0000 0.0000  4 Cu 2.44
Ir2 0.5000 0.5000 0.0000  4 Cu 2.44
Na1 0.6860 0.8140 0.5000  6 Cu 2.85-3.11
Na2 0.8140 0.3140 0.5000  6 Cu 2.85-3.11
Na3 0.3140 0.1860 0.5000  6 Cu 2.85-3.11
Na4 0.1860 0.6860 0.5000  6 Cu 2.85-3.11
Cu1 0.3671 0.8671 0.0000  1 Cu 2.35, 2 Ir 2.44
Cu2 0.6329 0.1329 0.0000  1 Cu 2.35, 2 Ir 2.44
Cu3 0.8671 0.6329 0.0000  1 Cu 2.35, 2 Ir 2.44
Cu4 0.1329 0.3671 0.0000  1 Cu 2.35, 2 Ir 2.44

## Properties
Crystal system: tetragonal
ΔE_f, eV/atom: 0.373

***

No. 5
Compound: NaCu2Ir2
Source: Alexandria via LeMat-Bulk
Functional: GGA-PBE
Structure: relaxed

Lattice parameters (Å, degrees): 7.7586 7.7586 2.5755 90.00 90.00 90.00
Closest atoms and distances in Å follow each position.
Positions (direct):
Ir1 0.1210 0.3790 0.0000  6 Cu 2.57-2.68, 3 Ir 2.58-2.65
Ir2 0.8790 0.6210 0.0000  6 Cu 2.57-2.68, 3 Ir 2.58-2.65
Ir3 0.3790 0.8790 0.0000  6 Cu 2.57-2.68, 3 Ir 2.58-2.65
Ir4 0.6210 0.1210 0.0000  6 Cu 2.57-2.68, 3 Ir 2.58-2.65
Na1 0.5000 0.5000 0.0000  2 Na 2.58
Na2 0.0000 0.0000 0.0000  2 Na 2.58
Cu1 0.6762 0.8238 0.5000  6 Ir 2.57-2.68, 2 Cu 2.58
Cu2 0.3238 0.1762 0.5000  6 Ir 2.57-2.68, 2 Cu 2.58
Cu3 0.1762 0.6762 0.5000  6 Ir 2.57-2.68, 2 Cu 2.58
Cu4 0.8238 0.3238 0.5000  6 Ir 2.57-2.68, 2 Cu 2.58

## Properties
Crystal system: tetragonal
ΔE_f, eV/atom: 0.244

***

No. 6
Compound: NaCuIr3
Source: Alexandria via LeMat-Bulk
Functional: GGA-PBE
Structure: relaxed

Lattice parameters (Å, degrees): 4.4715 4.4715 4.4715 90.00 90.00 90.00
Closest atoms and distances in Å follow each position.
Positions (direct):
Na1 0.0000 0.0000 0.0000  6 Ir 2.24
Cu1 0.5000 0.5000 0.5000  12 Ir 3.16
Ir1 0.0000 0.5000 0.0000  2 Na 2.24
Ir2 0.0000 0.0000 0.5000  2 Na 2.24
Ir3 0.5000 0.0000 0.0000  2 Na 2.24

## Properties
Crystal system: cubic
ΔE_f, eV/atom: 2.470

***

No. 7
Compound: Na3Cu2IrO6
Source: Alexandria via LeMat-Bulk
Functional: GGA-PBE
Structure: relaxed

Lattice parameters (Å, degrees): 5.3997 5.3997 5.5361 99.37 99.37 120.02
Closest atoms and distances in Å follow each position.
Positions (direct):
O1 0.2544 0.2544 0.8000  1 Ir 2.03, 2 Cu 2.11
O2 0.3885 0.0668 0.2001  1 Ir 2.03, 2 Cu 2.11
O3 0.0668 0.3885 0.2001  1 Ir 2.03, 2 Cu 2.11
O4 0.6115 0.9332 0.7999  1 Ir 2.03, 2 Cu 2.11
O5 0.7456 0.7456 0.2000  1 Ir 2.03, 2 Cu 2.11
O6 0.9332 0.6115 0.7999  1 Ir 2.03, 2 Cu 2.11
Na1 0.5000 0.5000 0.5000  6 O 2.36-2.44
Na2 0.8287 0.1713 0.5000  6 O 2.37-2.41
Na3 0.1713 0.8287 0.5000  6 O 2.37-2.41
Cu1 0.3337 0.6663 0.0000  6 O 2.11
Cu2 0.6663 0.3337 0.0000  6 O 2.11
Ir1 0.0000 0.0000 0.0000  6 O 2.03

## Properties
Crystal system: monoclinic
Formation energy without anion corrections, meV per atom: -999

***

No. 8
Compound: Na2CuIrO4
Source: Alexandria via LeMat-Bulk
Functional: GGA-PBE
Structure: relaxed

Lattice parameters (Å, degrees): 3.0969 5.8703 5.7441 116.48 90.00 90.00
Closest atoms and distances in Å follow each position.
Positions (direct):
Na1 0.5000 0.0000 0.5000  4 O 2.33
Na2 0.0000 0.5000 0.5000  6 O 2.29-2.45
O1 0.0000 0.6984 0.2352  2 Ir 2.04
O2 0.5000 0.2450 0.1483  2 Cu 2.02, 1 Ir 2.03
O3 0.5000 0.7550 0.8517  2 Cu 2.02, 1 Ir 2.03
O4 0.0000 0.3016 0.7648  2 Ir 2.04
Ir1 0.5000 0.5000 0.0000  6 O 2.03-2.04
Cu1 0.0000 0.0000 0.0000  4 O 2.02

## Properties
Crystal system: monoclinic
Formation energy without anion corrections, meV per atom: -1037

***

No. 9
Compound: NaCu2IrO6
Source: Alexandria via LeMat-Bulk
Functional: GGA-PBE
Structure: relaxed

Lattice parameters (Å, degrees): 5.3334 5.3263 5.6621 89.98 118.20 119.98
Closest atoms and distances in Å follow each position.
Positions (direct):
O1 0.7855 0.6182 0.7151  1 Cu 1.83, 1 Ir 1.98
O2 0.1565 0.3824 0.1948  1 Ir 1.88, 1 Cu 1.98
O3 0.8270 0.7730 0.1943  1 Ir 1.88, 1 Cu 1.99
O4 0.5637 0.9440 0.7149  1 Cu 1.84, 1 Ir 1.97
O5 0.4353 0.0525 0.1935  1 Ir 1.88, 1 Cu 1.98
O6 0.1089 0.1650 0.7140  1 Cu 1.83, 1 Ir 1.98
Ir1 0.0057 0.0024 0.9942  6 O 1.88-1.98
Cu1 0.4908 0.2452 0.7232  3 O 1.83-1.84
Cu2 0.5915 0.7951 0.3720  6 O 1.98-2.19
Na1 0.0007 0.5000 0.4865  6 O 2.35-2.37

## Properties
Crystal system: triclinic
Formation energy without anion corrections, meV per atom: -688

***

No. 10
Compound: NaCuIrO4
Source: Alexandria via LeMat-Bulk
Functional: GGA-PBE
Structure: relaxed

Lattice parameters (Å, degrees): 5.8509 6.4488 6.2861 119.17 90.00 116.98
Closest atoms and distances in Å follow each position.
Positions (direct):
Ir1 0.5000 0.0000 0.0000  6 O 1.99-2.00
Ir2 0.5000 0.0000 0.5000  6 O 1.99-2.00
Na1 0.8341 0.6682 0.0841  4 O 2.20-2.28
Na2 0.1659 0.3318 0.9159  4 O 2.20-2.28
O1 0.7294 0.0437 0.7719  2 Ir 2.00, 1 Na 2.20
O2 0.7043 0.4086 0.6516  2 Cu 1.97, 1 Ir 1.99
O3 0.3143 0.0437 0.7719  2 Ir 2.00, 1 Na 2.20
O4 0.2957 0.5914 0.7431  2 Cu 1.97, 1 Ir 1.99
O5 0.7043 0.4086 0.2569  2 Cu 1.97, 1 Ir 1.99
O6 0.2957 0.5914 0.3484  2 Cu 1.97, 1 Ir 1.99
O7 0.6857 0.9563 0.2281  2 Ir 2.00, 1 Na 2.20
O8 0.2706 0.9563 0.2281  2 Ir 2.00, 1 Na 2.20
Cu1 0.0000 0.5000 0.5000  4 O 1.97
Cu2 0.5000 0.5000 0.5000  4 O 1.97

## Properties
Crystal system: orthorhombic
Formation energy without anion corrections, meV per atom: -903

***

No. 11
Compound: NaCuPIr
Source: Alexandria via LeMat-Bulk
Functional: GGA-PBE
Structure: relaxed

Lattice parameters (Å, degrees): 3.8720 3.8720 10.4224 90.00 90.00 90.00
Closest atoms and distances in Å follow each position.
Positions (direct):
Ir1 0.2500 0.7500 0.0000  4 P 2.36
Ir2 0.7500 0.2500 0.0000  4 P 2.36
P1 0.2500 0.2500 0.1287  4 Ir 2.36
P2 0.7500 0.7500 0.8713  4 Ir 2.36
Cu1 0.2500 0.7500 0.5000  4 Cu 2.74, 4 Na 3.06
Cu2 0.7500 0.2500 0.5000  4 Cu 2.74, 4 Na 3.06
Na1 0.2500 0.2500 0.7274  4 Cu 3.06, 4 P 3.12
Na2 0.7500 0.7500 0.2726  4 Cu 3.06, 4 P 3.12

## Properties
Crystal system: tetragonal
ΔE_f, eV/atom: -0.161

***

No. 12
Compound: Na2CuSi4Ir3
Source: Alexandria via LeMat-Bulk
Functional: GGA-PBE
Structure: relaxed

Lattice parameters (Å, degrees): 4.0102 4.0102 10.1980 90.00 90.00 90.00
Closest atoms and distances in Å follow each position.
Positions (direct):
Si1 0.5000 0.5000 0.0000  4 Ir 2.42
Si2 0.0000 0.5000 0.3699  2 Cu 2.40, 3 Ir 2.40-2.42
Si3 0.5000 0.0000 0.6301  2 Cu 2.40, 3 Ir 2.40-2.42
Si4 0.0000 0.0000 0.0000  4 Ir 2.42
Ir1 0.0000 0.0000 0.5000  4 Si 2.40
Ir2 0.5000 0.0000 0.8674  5 Si 2.42
Ir3 0.0000 0.5000 0.1326  5 Si 2.42
Na1 0.5000 0.0000 0.2531  8 Si 3.08-3.27, 6 Ir 3.09-3.22, 2 Cu 3.22
Na2 0.0000 0.5000 0.7469  8 Si 3.08-3.27, 6 Ir 3.09-3.22, 2 Cu 3.22
Cu1 0.5000 0.5000 0.5000  4 Si 2.40

## Properties
Crystal system: tetragonal
Formation energy without anion corrections, meV per atom: -422

***

No. 13
Compound: NaCu2TcIr
Source: Alexandria via LeMat-Bulk
Functional: GGA-PBE
Structure: relaxed

Lattice parameters (Å, degrees): 4.2279 4.2279 4.7172 90.00 90.00 90.00
Closest atoms and distances in Å follow each position.
Positions (direct):
Cu1 0.0000 0.5000 0.0000  2 Na 2.11
Cu2 0.5000 0.0000 0.0000  2 Na 2.11
Ir1 0.0000 0.0000 0.5000  2 Na 2.36
Tc1 0.5000 0.5000 0.5000  4 Ir 2.99, 8 Cu 3.17
Na1 0.0000 0.0000 0.0000  4 Cu 2.11, 2 Ir 2.36

## Properties
Crystal system: tetragonal
ΔE_f, eV/atom: 1.810

***

No. 14
Compound: NaTlCu2Ir
Source: Alexandria via LeMat-Bulk
Functional: GGA-PBE
Structure: relaxed

Lattice parameters (Å, degrees): 4.8061 5.1429 4.8061 90.00 90.00 90.00
Closest atoms and distances in Å follow each position.
Positions (direct):
Cu1 0.5000 0.0000 0.0000  2 Tl 2.40
Cu2 0.0000 0.0000 0.5000  2 Tl 2.40
Ir1 0.5000 0.5000 0.5000  4 Na 3.40, 8 Cu 3.52
Tl1 0.0000 0.0000 0.0000  4 Cu 2.40, 2 Na 2.57
Na1 0.0000 0.5000 0.0000  2 Tl 2.57

## Properties
Crystal system: tetragonal
ΔE_f, eV/atom: 1.488

***

No. 15
Compound: NbCu2Ir
Source: Alexandria via LeMat-Bulk
Functional: GGA-PBE
Structure: relaxed

Lattice parameters (Å, degrees): 4.2983 4.2983 4.2983 60.00 60.00 60.00
Closest atoms and distances in Å follow each position.
Positions (direct):
Nb1 0.0000 0.0000 0.0000  8 Cu 2.63
Ir1 0.5000 0.5000 0.5000  8 Cu 2.63
Cu1 0.2500 0.2500 0.2500  4 Nb 2.63, 4 Ir 2.63
Cu2 0.7500 0.7500 0.7500  4 Nb 2.63, 4 Ir 2.63

## Properties
Crystal system: cubic
ΔE_f, eV/atom: 0.020

***

No. 16
Compound: Nb2CuIr2
Source: Alexandria via LeMat-Bulk
Functional: GGA-PBE
Structure: relaxed

Lattice parameters (Å, degrees): 7.7765 7.7765 2.8492 90.00 90.00 90.00
Closest atoms and distances in Å follow each position.
Positions (direct):
Nb1 0.1568 0.3432 0.0000  6 Ir 2.68-2.70, 2 Nb 2.85, 2 Cu 2.93
Nb2 0.3432 0.8432 0.0000  6 Ir 2.68-2.70, 2 Nb 2.85, 2 Cu 2.93
Nb3 0.8432 0.6568 0.0000  6 Ir 2.68-2.70, 2 Nb 2.85, 2 Cu 2.93
Nb4 0.6568 0.1568 0.0000  6 Ir 2.68-2.70, 2 Nb 2.85, 2 Cu 2.93
Cu1 0.5000 0.5000 0.0000  2 Cu 2.85, 4 Nb 2.93
Cu2 0.0000 0.0000 0.0000  2 Cu 2.85, 4 Nb 2.93
Ir1 0.1371 0.6371 0.5000  6 Nb 2.68-2.70, 2 Ir 2.85
Ir2 0.8629 0.3629 0.5000  6 Nb 2.68-2.70, 2 Ir 2.85
Ir3 0.3629 0.1371 0.5000  6 Nb 2.68-2.70, 2 Ir 2.85
Ir4 0.6371 0.8629 0.5000  6 Nb 2.68-2.70, 2 Ir 2.85

## Properties
Crystal system: tetragonal
ΔE_f, eV/atom: -0.091

***

No. 17
Compound: Nb2CuIr2
Source: Alexandria via LeMat-Bulk
Functional: GGA-PBE
Structure: relaxed

Lattice parameters (Å, degrees): 7.5391 7.5391 2.9703 90.00 90.00 90.00
Closest atoms and distances in Å follow each position.
Positions (direct):
Cu1 0.0000 0.0000 0.0000  4 Ir 2.94, 2 Cu 2.97, 8 Nb 3.18
Cu2 0.5000 0.5000 0.0000  4 Ir 2.94, 2 Cu 2.97, 8 Nb 3.18
Ir1 0.6333 0.1333 0.0000  6 Nb 2.60-2.71, 1 Ir 2.84
Ir2 0.3667 0.8667 0.0000  6 Nb 2.60-2.71, 1 Ir 2.84
Ir3 0.8667 0.6333 0.0000  6 Nb 2.60-2.71, 1 Ir 2.84
Ir4 0.1333 0.3667 0.0000  6 Nb 2.60-2.71, 1 Ir 2.84
Nb1 0.6661 0.8339 0.5000  6 Ir 2.60-2.71
Nb2 0.1661 0.6661 0.5000  6 Ir 2.60-2.71
Nb3 0.3339 0.1661 0.5000  6 Ir 2.60-2.71
Nb4 0.8339 0.3339 0.5000  6 Ir 2.60-2.71

## Properties
Crystal system: tetragonal
ΔE_f, eV/atom: -0.229

***

No. 18
Compound: Nb2Cu2Ir
Source: Alexandria via LeMat-Bulk
Functional: GGA-PBE
Structure: relaxed

Lattice parameters (Å, degrees): 6.6741 6.6741 3.3681 90.00 90.00 90.00
Closest atoms and distances in Å follow each position.
Positions (direct):
Cu1 0.1264 0.3736 0.0000  1 Cu 2.39, 6 Nb 2.53-2.64, 2 Ir 2.63
Cu2 0.3736 0.8736 0.0000  1 Cu 2.39, 6 Nb 2.53-2.64, 2 Ir 2.63
Cu3 0.8736 0.6264 0.0000  1 Cu 2.39, 6 Nb 2.53-2.64, 2 Ir 2.63
Cu4 0.6264 0.1264 0.0000  1 Cu 2.39, 6 Nb 2.53-2.64, 2 Ir 2.63
Nb1 0.1739 0.6739 0.5000  6 Cu 2.53-2.64
Nb2 0.8261 0.3261 0.5000  6 Cu 2.53-2.64
Nb3 0.3261 0.1739 0.5000  6 Cu 2.53-2.64
Nb4 0.6739 0.8261 0.5000  6 Cu 2.53-2.64
Ir1 0.5000 0.5000 0.0000  4 Cu 2.63
Ir2 0.0000 0.0000 0.0000  4 Cu 2.63

## Properties
Crystal system: tetragonal
ΔE_f, eV/atom: -0.025

***

No. 19
Compound: NbCu2Ir
Source: Alexandria via LeMat-Bulk
Functional: GGA-PBE
Structure: relaxed

Lattice parameters (Å, degrees): 6.9909 6.9909 5.5588 51.04 51.04 90.00
Closest atoms and distances in Å follow each position.
Positions (direct):
Cu1 0.1131 0.6250 0.2500  2 Ir 2.50, 2 Cu 2.55, 2 Nb 2.61
Cu2 0.8750 0.8869 0.7500  2 Ir 2.50, 2 Cu 2.55, 2 Nb 2.61
Cu3 0.3750 0.3631 0.7500  2 Ir 2.50, 2 Cu 2.55, 2 Nb 2.61
Cu4 0.6369 0.1250 0.2500  2 Ir 2.50, 2 Cu 2.55, 2 Nb 2.61
Ir1 0.7500 0.2500 0.5000  4 Cu 2.50, 2 Nb 2.54
Ir2 0.0000 0.0000 0.0000  4 Cu 2.50, 2 Nb 2.54
Nb1 0.5000 0.5000 0.0000  2 Ir 2.54, 4 Cu 2.61
Nb2 0.2500 0.7500 0.5000  2 Ir 2.54, 4 Cu 2.61

## Properties
Crystal system: tetragonal
ΔE_f, eV/atom: 0.480

***

No. 20
Compound: NbCuIr2
Source: Alexandria via LeMat-Bulk
Functional: GGA-PBE
Structure: relaxed

Lattice parameters (Å, degrees): 6.8926 6.8926 5.6148 52.14 52.14 90.00
Closest atoms and distances in Å follow each position.
Positions (direct):
Cu1 0.2500 0.7500 0.5000  4 Ir 2.57, 2 Nb 2.79
Cu2 0.5000 0.5000 0.0000  4 Ir 2.57, 2 Nb 2.79
Nb1 0.0000 0.0000 0.0000  4 Ir 2.50, 2 Cu 2.79
Nb2 0.7500 0.2500 0.5000  4 Ir 2.50, 2 Cu 2.79
Ir1 0.1179 0.6250 0.2500  2 Nb 2.50, 2 Cu 2.57, 2 Ir 2.79
Ir2 0.8750 0.8821 0.7500  2 Nb 2.50, 2 Cu 2.57, 2 Ir 2.79
Ir3 0.6321 0.1250 0.2500  2 Nb 2.50, 2 Cu 2.57, 2 Ir 2.79
Ir4 0.3750 0.3679 0.7500  2 Nb 2.50, 2 Cu 2.57, 2 Ir 2.79

## Properties
Crystal system: tetragonal
ΔE_f, eV/atom: 0.247

***

Record-wise DOS(E_F) values, in states/eV/cell: 4.64; 2.23; 6.77; 6.86; 9.22; 8.93; 6.32; 3.84; 4.44; 8.64; 2.13; 3.09; 5.07; 3.59; 6.90; 6.11; 6.05; 8.07; 9.45; 0.73